# 1
DFT (PBE) results for a relaxed structure of InBr.

```
data_InBr
_cell_length_a 4.209
_cell_length_b 8.081
_cell_length_c 8.019
_cell_angle_alpha 90.00
_cell_angle_beta 90.00
_cell_angle_gamma 90.00
_space_group_name_H-M_alt 'P b c m'
_space_group_IT_number 57
loop_
_space_group_symop_operation_xyz
'x,y,z'
'-x,-y,-z'
'-x,-y,z+1/2'
'x,y,-z+1/2'
'x,-y+1/2,-z'
'-x,y+1/2,z'
'-x,y+1/2,-z+1/2'
'x,-y+1/2,z+1/2'
loop_
_atom_site_label
_atom_site_fract_x
_atom_site_fract_y
_atom_site_fract_z
_atom_site_occupancy
In1 0.132 0.041 0.250 1
Br1 0.453 0.750 0.000 1
```

# 2
DFT (PBE) results for a relaxed structure of In4Br7.

Calculated values
- DOS(E_F): 0.000 states/eV per atom
- ΔE to the lowest computed polymorph: 12 meV/atom

```
data_In4Br7
_cell_length_a 7.8024
_cell_length_b 7.8024
_cell_length_c 47.8869
_cell_angle_alpha 90.00
_cell_angle_beta 90.00
_cell_angle_gamma 120.00
_space_group_name_H-M_alt 'R -3 m'
_space_group_IT_number 166
_space_group_name_Hall '-R 3 2"'
loop_
_atom_site_label
_atom_site_fract_x
_atom_site_fract_y
_atom_site_fract_z
_atom_site_occupancy
In1 0.0000 0.0000 0.0000 1
In2 0.0000 0.0000 0.0836 1
In3 0.0000 0.0000 0.2066 1
In4 0.0000 0.0000 0.3465 1
In5 0.0000 0.0000 0.5000 1
Br1 0.0000 0.0000 0.1535 1
Br2 0.0072 0.5036 0.6334 1
Br3 0.0198 0.5099 0.1084 1
```

Formation energy from raw total energies / eV/f.u.: -1.2 -8.2
Energy / hartree per atom: -0.1038 -0.1030